DFT (PBE-GGA) results for a geometry-optimized Ba2NaLiH structure.

Summary:
- DOS at the Fermi energy: 4.6 states/eV/cell
- Space-group type: P4/mmm (123)
- Raw total energy: -2.16 eV per atom

a b c (Å): 5.812 5.812 5.045
angles (deg): 90.00 90.00 90.00
Atoms (fractional coordinates):
Li1 0.000 0.000 0.500
Na1 0.500 0.500 0.500
H1 0.000 0.000 0.000
Ba1 0.000 0.500 0.000
Ba2 0.500 0.000 0.000